12
Lattice="7.007 0.000 0.000 0.000 9.868 0.000 0.000 0.000 5.650" Properties=species:S:1:pos:R:3 comment="PBE LaSm2Ho2Tm, optimized geometry" total_energy_ha_per_atom=-0.1691 e_form_ev_per_atom=0.064 dos_at_fermi_per_ev_cell=17.3 pbc="T T T"
La 0.000 0.000 0.000
La 3.504 4.934 2.825
Sm 1.727 3.288 0.000
Sm 1.777 8.222 2.825
Sm 5.230 1.646 2.825
Sm 5.281 6.580 0.000
Ho 1.747 6.579 0.000
Ho 1.757 1.645 2.825
Ho 5.250 8.223 2.825
Ho 5.261 3.289 0.000
Tm 0.000 4.934 2.825
Tm 3.504 0.000 0.000